The following is a PBE calculation of a geometry-optimized LaZn4Au12 structure, from Alexandria.

Values from the calculation:
- N(E_F): 13.6 states/eV per cell
- Energy: -2.9483 eV/atom
- Calculated formation energy: -0.0452 eV per atom
- Theoretical density: 12.741 g/cm3

Cell and atoms, written as CIF:
```
data_LaZn4Au12
_chemical_formula_sum 'La2 Zn8 Au24'
_symmetry_space_group_name_H-M 'I m -3'
_symmetry_Int_Tables_number 204
_symmetry_space_group_name_Hall '-I 2 2 3'
_cell_length_a 8.9649
_cell_length_b 8.9649
_cell_length_c 8.9649
_cell_angle_alpha 90.00
_cell_angle_beta 90.00
_cell_angle_gamma 90.00
loop_
_atom_site_label
_atom_site_fract_x
_atom_site_fract_y
_atom_site_fract_z
La1 0.0000 0.0000 0.0000
Zn1 0.2500 0.2500 0.2500
Au1 0.0000 0.3441 0.1547
```